Entry 1:
This record from Alexandria describes a geometry-optimized Zn2CrAs structure. The functional is GGA-PBE.

POSCAR file:
```
Zn2CrAs
1.0
-0.564 2.445 -3.626
-2.513 -0.861 -0.190
-0.641 4.223 2.947
As Cr Zn
1 1 2
Direct
0.000 0.454 0.527
0.500 0.605 0.764
0.000 0.185 0.980
0.500 0.256 0.230
```

Values from the calculation:
**M_tot**: 0.00 μB per atom
**Fermi-level density of states**: 0.54 states/eV/atom
**Energy of formation**: 243 meV per atom

Entry 2:
This record from Alexandria describes a geometry-optimized Zn2CrAs structure. The functional is GGA-PBE.

POSCAR file:
```
Zn2CrAs
1.0
-1.889 -0.594 4.065
2.604 -0.258 3.687
0.000 3.375 3.008
As Cr Zn
1 1 2
Direct
0.500 0.500 0.500
0.250 0.250 0.250
0.000 0.000 0.000
0.750 0.750 0.750
```

Values from the calculation:
**M_tot**: 0.97 μB per atom
**Fermi-level density of states**: 0.77 states/eV/atom
**Energy of formation**: 262 meV per atom

Entry 3:
This record from Alexandria describes a geometry-optimized ZnCrAs structure. The functional is GGA-PBE.

POSCAR file:
```
ZnCrAs
1.0
-4.828 0.691 -0.416
-3.250 -0.184 3.655
4.320 1.926 -1.260
As Cr Zn
1 1 1
Direct
0.979 0.979 0.000
0.350 0.350 0.000
0.670 0.670 0.000
```

Values from the calculation:
**M_tot**: 0.33 μB per atom
**Fermi-level density of states**: 0.56 states/eV/atom
**Energy of formation**: 113 meV per atom

Entry 4:
This record from Alexandria describes a geometry-optimized ZnCr2As structure. The functional is GGA-PBE.

POSCAR file:
```
ZnCr2As
1.0
-2.839 2.911 -2.463
-3.791 1.246 2.583
4.749 0.204 0.078
As Cr Zn
1 2 1
Direct
0.250 0.750 0.500
0.016 0.016 0.000
0.484 0.484 0.000
0.750 0.250 0.500
```

Values from the calculation:
**Energy above the most stable polymorph in this dataset**: 13.7 kJ/mol of atoms
**M_tot**: 0.54 μB per atom
**Fermi-level density of states**: 1.04 states/eV/atom
**Energy of formation**: 284 meV per atom

Entry 5:
This record from Alexandria describes a geometry-optimized ZnCr2As structure. The functional is GGA-PBE.

POSCAR file:
```
ZnCr2As
1.0
-0.893 -0.291 4.250
3.240 -0.337 2.887
0.911 3.332 2.648
As Cr Zn
1 2 1
Direct
0.500 0.500 0.500
0.000 0.000 0.000
0.250 0.250 0.250
0.750 0.750 0.750
```

Values from the calculation:
**Energy above the most stable polymorph in this dataset**: 13.0 kJ/mol of atoms
**M_tot**: 0.14 μB per atom
**Fermi-level density of states**: 0.58 states/eV/atom
**Energy of formation**: 277 meV per atom

Entry 6:
This record from Alexandria describes a geometry-optimized ZnCr2As structure. The functional is GGA-PBE.

POSCAR file:
```
ZnCr2As
1.0
-2.362 1.616 1.186
-1.488 -0.196 -2.697
-3.971 -5.092 -0.971
As Cr Zn
1 2 1
Direct
0.500 0.725 0.775
0.000 0.986 0.014
0.500 0.270 0.230
0.000 0.519 0.481
```

Values from the calculation:
**Energy above the most stable polymorph in this dataset**: 0.0 kJ/mol of atoms
**M_tot**: 0.11 μB per atom
**Fermi-level density of states**: 0.75 states/eV/atom
**Energy of formation**: 142 meV per atom

Entry 7:
This record from Alexandria describes a geometry-optimized Zn3CrAs structure. The functional is GGA-PBE.

POSCAR file:
```
Zn3CrAs
1.0
4.877 0.000 0.000
0.000 4.877 0.000
0.000 0.000 4.877
Cr As Zn
1 1 3
Direct
0.500 0.500 0.500
0.000 0.000 0.000
0.000 0.500 0.000
0.000 0.000 0.500
0.500 0.000 0.000
```

Values from the calculation:
**Energy above the most stable polymorph in this dataset**: 0.0 kJ/mol of atoms
**M_tot**: 0.95 μB per atom
**Fermi-level density of states**: 0.49 states/eV/atom
**Energy of formation**: 769 meV per atom

Entry 8:
This record from Alexandria describes a geometry-optimized Zn2CrAs structure. The functional is GGA-PBE.

POSCAR file:
```
Zn2CrAs
1.0
-1.322 2.403 1.730
-2.943 -0.858 -1.058
-0.552 -3.386 4.283
As Cr Zn
1 1 2
Direct
0.000 0.000 0.532
0.500 0.500 0.730
0.000 0.000 0.004
0.500 0.500 0.234
```

Values from the calculation:
**M_tot**: 0.20 μB per atom
**Fermi-level density of states**: 0.41 states/eV/atom
**Energy of formation**: 72 meV per atom

Entry 9:
This record from Alexandria describes a geometry-optimized ZnCr2As structure. The functional is GGA-PBE.

POSCAR file:
```
ZnCr2As
1.0
-0.313 -2.301 -3.394
3.827 1.058 -1.070
4.825 -7.371 2.062
Cr As Zn
4 2 2
Direct
0.638 0.125 0.250
0.112 0.625 0.250
0.375 0.362 0.750
0.875 0.888 0.750
0.000 0.000 0.000
0.750 0.250 0.500
0.500 0.500 0.000
0.250 0.750 0.500
```

Values from the calculation:
**Energy above the most stable polymorph in this dataset**: 44.4 kJ/mol of atoms
**M_tot**: 1.85 μB per atom
**Fermi-level density of states**: 0.73 states/eV/atom
**Energy of formation**: 603 meV per atom

Entry 10:
This record from Alexandria describes a geometry-optimized Zn2CrAs structure. The functional is GGA-PBE.

POSCAR file:
```
Zn2CrAs
1.0
4.585 -0.295 0.501
3.659 2.779 0.501
1.054 0.317 4.437
As Cr Zn
1 1 2
Direct
0.484 0.484 0.601
0.765 0.765 0.660
0.003 0.003 0.039
0.248 0.248 0.200
```

Values from the calculation:
**M_tot**: 0.25 μB per atom
**Fermi-level density of states**: 0.18 states/eV/atom
**Energy of formation**: 110 meV per atom

Entry 11:
This record from Alexandria describes a geometry-optimized Zn2CrAs structure. The functional is GGA-PBE.

POSCAR file:
```
Zn2CrAs
1.0
2.860 0.010 0.000
-0.007 2.860 0.000
0.000 0.000 7.995
As Cr Zn
1 1 2
Direct
0.000 0.000 0.551
0.500 0.500 0.753
0.000 0.000 0.981
0.500 0.500 0.215
```

Values from the calculation:
**M_tot**: 0.65 μB per atom
**Fermi-level density of states**: 0.74 states/eV/atom
**Energy of formation**: 173 meV per atom

Entry 12:
This record from Alexandria describes a geometry-optimized ZnCr2As2 structure. The functional is GGA-PBE.

POSCAR file:
```
ZnCr2As2
1.0
-3.416 5.373 -3.140
-3.939 0.905 5.836
2.061 1.947 1.089
Cr As Zn
4 4 2
Direct
0.139 0.639 0.500
0.639 0.861 0.500
0.861 0.361 0.500
0.361 0.139 0.500
0.347 0.847 0.000
0.847 0.653 0.000
0.653 0.153 0.000
0.153 0.347 0.000
0.000 0.000 0.000
0.500 0.500 0.000
```

Values from the calculation:
**Energy above the most stable polymorph in this dataset**: 7.4 kJ/mol of atoms
**M_tot**: 0.85 μB per atom
**Fermi-level density of states**: 0.54 states/eV/atom
**Energy of formation**: 134 meV per atom

Entry 13:
This record from Alexandria describes a geometry-optimized ZrCr2As2 structure. The functional is GGA-PBE.

POSCAR file:
```
ZrCr2As2
1.0
7.147 0.000 0.000
0.000 7.147 0.000
0.000 0.000 3.135
Cr As Zr
4 4 2
Direct
0.136 0.636 0.500
0.636 0.864 0.500
0.864 0.364 0.500
0.364 0.136 0.500
0.350 0.850 0.000
0.850 0.650 0.000
0.650 0.150 0.000
0.150 0.350 0.000
0.000 0.000 0.000
0.500 0.500 0.000
```

Values from the calculation:
**Energy above the most stable polymorph in this dataset**: 6.6 kJ/mol of atoms
**M_tot**: 0.79 μB per atom
**Fermi-level density of states**: 0.86 states/eV/atom
**Energy of formation**: -200 meV per atom

Entry 14:
This record from Alexandria describes a geometry-optimized Zr2CrAs structure. The functional is GGA-PBE.

POSCAR file:
```
Zr2CrAs
1.0
-1.646 -2.832 -2.276
3.302 -1.450 -0.583
1.073 -3.689 3.814
As Cr Zr
1 1 2
Direct
0.000 0.703 0.469
0.500 0.542 0.791
0.000 0.983 0.909
0.500 0.272 0.330
```

Values from the calculation:
**M_tot**: 0.43 μB per atom
**Fermi-level density of states**: 0.80 states/eV/atom
**Energy of formation**: -500 meV per atom

Entry 15:
This record from Alexandria describes a geometry-optimized ZrCrAs2 structure. The functional is GGA-PBE.

POSCAR file:
```
ZrCrAs2
1.0
-2.281 -0.853 -1.985
1.915 -2.135 -1.284
-2.548 -5.457 5.271
As Cr Zr
2 1 1
Direct
0.000 0.000 0.956
0.500 0.500 0.344
0.000 0.000 0.482
0.500 0.500 0.717
```

Values from the calculation:
**Energy above the most stable polymorph in this dataset**: 36.4 kJ/mol of atoms
**M_tot**: 0.34 μB per atom
**Fermi-level density of states**: 0.56 states/eV/atom
**Energy of formation**: -159 meV per atom

Entry 16:
This record from Alexandria describes a geometry-optimized ZrCrAs2 structure. The functional is GGA-PBE.

POSCAR file:
```
ZrCrAs2
1.0
4.226 0.000 0.000
0.000 4.855 0.000
0.000 0.000 3.465
As Cr Zr
2 1 1
Direct
0.000 0.000 0.000
0.500 0.500 0.000
0.500 0.000 0.500
0.000 0.500 0.500
```

Values from the calculation:
**Energy above the most stable polymorph in this dataset**: 18.0 kJ/mol of atoms
**M_tot**: 0.85 μB per atom
**Fermi-level density of states**: 0.50 states/eV/atom
**Energy of formation**: -349 meV per atom

Entry 17:
This record from Alexandria describes a geometry-optimized ZrCrAs4 structure. The functional is GGA-PBE.

POSCAR file:
```
ZrCrAs4
1.0
0.000 3.883 3.883
3.883 0.000 3.883
3.883 3.883 0.000
Zr Cr As
1 1 4
Direct
0.000 0.000 0.000
0.750 0.750 0.750
0.875 0.375 0.375
0.375 0.375 0.875
0.375 0.875 0.375
0.375 0.375 0.375
```

Values from the calculation:
**M_tot**: 0.73 μB per atom
**Fermi-level density of states**: 0.66 states/eV/atom
**Energy of formation**: 341 meV per atom

Entry 18:
This record from Alexandria describes a geometry-optimized ZrCr2As2 structure. The functional is GGA-PBE.

POSCAR file:
```
ZrCr2As2
1.0
3.884 0.000 0.000
0.000 3.884 0.000
1.942 1.942 5.339
Cr As Zr
2 2 1
Direct
0.750 0.250 0.500
0.250 0.750 0.500
0.380 0.380 0.239
0.620 0.620 0.761
0.000 0.000 0.000
```

Values from the calculation:
**Energy above the most stable polymorph in this dataset**: 0.0 kJ/mol of atoms
**M_tot**: 0.74 μB per atom
**Fermi-level density of states**: 0.70 states/eV/atom
**Energy of formation**: -268 meV per atom

Entry 19:
This record from Alexandria describes a geometry-optimized ZrCrAs structure. The functional is GGA-PBE.

POSCAR file:
```
ZrCrAs
1.0
5.266 0.004 0.000
3.294 4.109 0.000
-4.280 -2.056 2.277
As Cr Zr
1 1 1
Direct
0.971 0.971 0.000
0.360 0.360 0.000
0.668 0.668 0.000
```

Values from the calculation:
**M_tot**: 0.00 μB per atom
**Fermi-level density of states**: 1.06 states/eV/atom
**Energy of formation**: -216 meV per atom

Entry 20:
This record from Alexandria describes a geometry-optimized Zr2CrAs structure. The functional is GGA-PBE.

POSCAR file:
```
Zr2CrAs
1.0
-0.795 -4.601 2.105
4.114 -1.224 2.795
-2.898 4.223 -0.053
As Cr Zr
1 1 2
Direct
0.250 0.750 0.500
0.750 0.250 0.500
0.000 0.000 0.000
0.500 0.500 0.000
```

Values from the calculation:
**M_tot**: 0.72 μB per atom
**Fermi-level density of states**: 0.72 states/eV/atom
**Energy of formation**: -202 meV per atom